# 1
DFT (PBE-GGA) results for Y5Ru2Pt after structural relaxation.

Values from the calculation:
ΔE_f: -0.556 eV/atom

Cell: 7.4177 7.4177 8.7257 Å, 115.15 115.15 90.00°
Last column: nearest neighbours and their distance in Å.
Fractional coordinates of all 16 atoms:
1 Y 0.0335 0.5335 0.7187  3 Ru 2.88-2.99, 2 Pt 3.14
2 Y 0.5335 0.6852 0.7187  3 Ru 2.88-2.99, 2 Pt 3.14
3 Y 0.0000 0.0000 0.0000  4 Ru 2.93
4 Y 0.1852 0.0335 0.7187  3 Ru 2.88-2.99, 2 Pt 3.14
5 Y 0.5000 0.5000 0.0000  4 Ru 2.93
6 Y 0.4665 0.3148 0.2813  3 Ru 2.88-2.99, 2 Pt 3.14
7 Y 0.3148 0.8148 0.2813  3 Ru 2.88-2.99, 2 Pt 3.14
8 Y 0.6852 0.1852 0.7187  3 Ru 2.88-2.99, 2 Pt 3.14
9 Y 0.8148 0.9665 0.2813  3 Ru 2.88-2.99, 2 Pt 3.14
10 Y 0.9665 0.4665 0.2813  3 Ru 2.88-2.99, 2 Pt 3.14
11 Ru 0.8747 0.6253 0.0000  1 Ru 2.63, 4 Y 2.88-2.93
12 Ru 0.3747 0.8747 0.0000  1 Ru 2.63, 4 Y 2.88-2.93
13 Ru 0.6253 0.1253 0.0000  1 Ru 2.63, 4 Y 2.88-2.93
14 Ru 0.1253 0.3747 0.0000  1 Ru 2.63, 4 Y 2.88-2.93
15 Pt 0.2500 0.2500 0.5000  10 Y 3.14-3.49
16 Pt 0.7500 0.7500 0.5000  10 Y 3.14-3.49


# 2
DFT (PBE-GGA) results for Np2GaSb after structural relaxation.

Values from the calculation:
Excess energy over the best structure of this formula in the dataset: 42 meV per atom
Formation energy without anion corrections: -0.038 eV per atom

Cell: 3.3327 3.3327 8.4742 Å, 90.00 90.00 90.00°
Last column: nearest neighbours and their distance in Å.
Fractional coordinates of all 4 atoms:
1 Sb 0.5000 0.5000 0.5000  8 Np 3.24, 4 Sb 3.33
2 Ga 0.5000 0.5000 0.0000  8 Np 3.10, 4 Ga 3.33
3 Np 0.0000 0.0000 0.7627  4 Ga 3.10, 4 Sb 3.24, 4 Np 3.33
4 Np 0.0000 0.0000 0.2373  4 Ga 3.10, 4 Sb 3.24, 4 Np 3.33


# 3
DFT (PBE-GGA) results for La2InP after structural relaxation.

Values from the calculation:
Excess energy over the best structure of this formula in the dataset: 309 meV per atom
ΔE_f: -0.648 eV/atom

Cell: 8.2690 8.2690 6.8908 Å, 53.13 53.13 90.00°
Last column: nearest neighbours and their distance in Å.
Fractional coordinates of all 8 atoms:
1 La 0.5853 0.1250 0.2500  2 P 2.85
2 La 0.3750 0.4147 0.7500  2 P 2.85
3 La 0.8750 0.8353 0.7500  2 P 2.85
4 La 0.1647 0.6250 0.2500  2 P 2.85
5 In 0.7500 0.2500 0.5000  4 La 3.29, 2 P 3.65
6 In 0.0000 0.0000 0.0000  4 La 3.29, 2 P 3.65
7 P 0.5000 0.5000 0.0000  4 La 2.85
8 P 0.2500 0.7500 0.5000  4 La 2.85


# 4
DFT (PBE-GGA) results for Tb14PmTm after structural relaxation.

Values from the calculation:
ΔE_f: 0.000 eV/atom

Cell: 7.1504 7.1504 11.5097 Å, 90.00 90.00 120.01°
Last column: nearest neighbours and their distance in Å.
Fractional coordinates of all 16 atoms:
1 Tb 0.8752 0.1248 0.7514  11 Tb 3.53-3.58, 1 Pm 3.55
2 Tb 0.8752 0.1248 0.2486  11 Tb 3.53-3.58, 1 Pm 3.55
3 Tb 0.8753 0.6253 0.2498  10 Tb 3.54-3.58, 1 Tm 3.54, 1 Pm 3.54
4 Tb 0.3748 0.6252 0.2509  1 Tm 3.53, 11 Tb 3.53-3.58
5 Tb 0.2077 0.2915 0.5000  8 Tb 3.53-3.58, 2 Pm 3.57-3.58, 2 Tm 3.57-3.58
6 Tb 0.5415 0.9579 0.0000  12 Tb 3.53-3.58
7 Tb 0.8753 0.6253 0.7502  10 Tb 3.54-3.58, 1 Tm 3.54, 1 Pm 3.54
8 Tb 0.0421 0.4585 0.0000  12 Tb 3.53-3.58
9 Tb 0.3747 0.1247 0.2498  10 Tb 3.54-3.58, 1 Tm 3.54, 1 Pm 3.54
10 Tb 0.7085 0.7923 0.5000  8 Tb 3.53-3.58, 2 Pm 3.57-3.58, 2 Tm 3.57-3.58
11 Tb 0.3748 0.6252 0.7491  1 Tm 3.53, 11 Tb 3.53-3.58
12 Tb 0.5417 0.4583 0.0000  12 Tb 3.54-3.58
13 Tb 0.0419 0.9581 0.0000  12 Tb 3.53-3.58
14 Tb 0.3747 0.1247 0.7502  10 Tb 3.54-3.58, 1 Tm 3.54, 1 Pm 3.54
15 Pm 0.7085 0.2915 0.5000  10 Tb 3.54-3.58, 2 Tm 3.57
16 Tm 0.2082 0.7918 0.5000  10 Tb 3.53-3.58, 2 Pm 3.57


# 5
DFT (PBE-GGA) results for K2CdAgO after structural relaxation.

Values from the calculation:
Formation energy without anion corrections: -0.451 eV per atom

Cell: 5.5919 5.5919 4.5022 Å, 90.00 90.00 90.00°
Last column: nearest neighbours and their distance in Å.
Fractional coordinates of all 5 atoms:
1 K 0.5000 0.0000 0.0000  2 O 2.80
2 K 0.0000 0.5000 0.0000  2 O 2.80
3 O 0.0000 0.0000 0.0000  2 Cd 2.25
4 Ag 0.5000 0.5000 0.5000  8 K 3.59, 4 Cd 3.95
5 Cd 0.0000 0.0000 0.5000  2 O 2.25


# 6
DFT (PBE-GGA) results for Ac2Ga2Pt3 after structural relaxation.

Values from the calculation:
ΔE_f: -0.873 eV/atom

Cell: 4.0480 6.1185 7.3999 Å, 113.05 90.00 109.32°
Last column: nearest neighbours and their distance in Å.
Fractional coordinates of all 7 atoms:
1 Pt 0.3825 0.7651 0.5718  3 Ga 2.60-2.69, 1 Pt 2.88
2 Pt 0.5000 0.0000 0.0000  4 Ga 2.84, 2 Pt 2.88
3 Pt 0.6175 0.2349 0.4282  3 Ga 2.60-2.69, 1 Pt 2.88
4 Ac 0.8777 0.7554 0.2305  6 Pt 3.22-3.32, 4 Ga 3.23-3.36
5 Ac 0.1223 0.2446 0.7695  6 Pt 3.22-3.32, 4 Ga 3.23-3.36
6 Ga 0.1616 0.3232 0.2459  5 Pt 2.60-2.84
7 Ga 0.8384 0.6768 0.7541  5 Pt 2.60-2.84


Number 1: calculated volume 192 Å³/f.u.. Number 2: calculated volume 94 Å³/f.u.. Number 3: calculated volume 125 Å³/f.u.. Number 4: calculated volume 510 Å³/f.u.. Number 5: calculated volume 141 Å³/f.u.. Number 6: calculated volume 157 Å³/f.u..